Entry from Alexandria: a geometry-optimized Zn5Pt3 structure (PBE-GGA).

Output
M_tot = 0.0 μB per cell
space group = C2/c
formation energy from the elements = -449 meV/atom
excess energy over the best structure of this formula in the dataset = 2.0 kJ per mole of atoms
uncorrected energy = -3.51 eV per atom

Geometry as POSCAR:
```
Zn5Pt3
1.0
5.337 0.125 -0.128
2.829 6.742 -0.099
-2.826 -0.095 6.743
Pt Zn
6 10
Cartesian
4.901 5.627 3.631
1.335 0.246 0.185
3.110 3.822 5.438
0.441 1.146 2.890
2.231 2.951 1.084
4.006 6.527 6.337
5.570 4.907 1.156
2.901 5.426 1.802
0.502 4.464 6.010
4.839 2.308 0.511
4.005 3.211 3.022
1.336 3.562 3.500
2.440 1.346 4.719
3.169 0.700 2.120
2.173 6.073 4.401
-0.228 1.866 5.366
```